(1)
MgOsPdPb2 after structural relaxation. Source: Alexandria, functional PBE.

POSCAR file:
```
MgOsPdPb2
1.0
5.169 0.000 0.000
0.000 5.169 0.000
0.000 0.000 4.880
Mg Os Pd Pb
1 1 1 2
Direct
0.000 0.000 0.000 Mg
0.500 0.500 0.000 Os
0.000 0.000 0.500 Pd
0.000 0.500 0.500 Pb
0.500 0.000 0.500 Pb
```

Output
Magnetization (μB/cell): 1.94
Energy relative to the elements (eV/atom): 1.0118
Symmetry: P4/mmm
Calculated density (g/cm3): 9.366
DFT total energy (eV/atom): -4.07

(2)
SiSn2Hg after structural relaxation. Source: Alexandria, functional PBE.

POSCAR file:
```
SiSn2Hg
1.0
-3.284 3.284 5.794
3.284 -3.284 5.794
3.284 3.284 -5.794
Si Sn Hg
2 4 2
Direct
0.000 0.000 0.000 Si
0.750 0.250 0.500 Si
0.097 0.625 0.972 Sn
0.375 0.347 0.472 Sn
0.653 0.125 0.028 Sn
0.875 0.903 0.528 Sn
0.250 0.750 0.500 Hg
0.500 0.500 0.000 Hg
```

Output
Magnetization (μB/cell): 0.00
ΔE_f (raw) (eV/f.u.): 1.02
Relative energy among the computed polymorphs (eV per atom): 0.092
Symmetry: I-42d
Calculated density (g/cm3): 6.191
DFT total energy (eV/atom): -3.18

(3)
Ca2DyHoTe4 after structural relaxation. Source: Alexandria, functional PBE.

POSCAR file:
```
Ca2DyHoTe4
1.0
7.591 0.000 0.000
0.000 4.387 0.000
-2.540 0.000 7.322
Ca Dy Ho Te
2 1 1 4
Direct
0.000 0.000 0.000 Ca
0.500 0.500 0.000 Ca
0.000 0.500 0.500 Dy
0.500 0.000 0.500 Ho
0.249 0.000 0.745 Te
0.253 0.500 0.256 Te
0.747 0.500 0.744 Te
0.751 0.000 0.255 Te
```

Output
Magnetization (μB/cell): 0.00
ΔE_f (raw) (eV/f.u.): -11.56
Symmetry: P2/m
Calculated density (g/cm3): 6.252
DFT total energy (eV/atom): -4.66

(4)
DyEr4Ir2 after structural relaxation. Source: Alexandria, functional PBE.

POSCAR file:
```
DyEr4Ir2
1.0
7.802 0.000 0.000
0.000 6.271 0.000
-3.029 0.000 7.246
Dy Er Ir
2 8 4
Direct
0.027 0.250 0.158 Dy
0.973 0.750 0.842 Dy
0.237 0.502 0.584 Er
0.237 0.998 0.584 Er
0.334 0.750 0.250 Er
0.380 0.250 0.015 Er
0.620 0.750 0.985 Er
0.666 0.250 0.750 Er
0.763 0.002 0.416 Er
0.763 0.498 0.416 Er
0.015 0.250 0.740 Ir
0.412 0.250 0.374 Ir
0.588 0.750 0.626 Ir
0.985 0.750 0.260 Ir
```

Output
Magnetization (μB/cell): 0.00
Energy relative to the elements (eV/atom): -0.5707
Symmetry: P2_1/m
Calculated density (g/cm3): 11.390
DFT total energy (eV/atom): -6.37

(5)
ZnCu3Tc after structural relaxation. Source: Alexandria, functional PBE.

POSCAR file:
```
ZnCu3Tc
1.0
4.357 0.000 0.000
0.000 4.357 0.000
0.000 0.000 4.357
Zn Cu Tc
1 3 1
Direct
0.000 0.000 0.000 Zn
0.000 0.000 0.500 Cu
0.000 0.500 0.000 Cu
0.500 0.000 0.000 Cu
0.500 0.500 0.500 Tc
```

Output
Magnetization (μB/cell): 2.83
Relative energy among the computed polymorphs (eV per atom): 0.000
Energy relative to the elements (eV/atom): 1.1174
Symmetry: Pm-3m
Calculated density (g/cm3): 7.107
DFT total energy (eV/atom): -3.67

(6)
Ho3Sb2Ru after structural relaxation. Source: Alexandria, functional PBE.

POSCAR file:
```
Ho3Sb2Ru
1.0
12.069 0.000 0.000
0.000 4.379 0.000
0.000 0.000 11.571
Ho Sb Ru
12 8 4
Direct
0.054 0.250 0.133 Ho
0.121 0.750 0.547 Ho
0.242 0.250 0.791 Ho
0.258 0.750 0.291 Ho
0.379 0.250 0.047 Ho
0.446 0.750 0.633 Ho
0.554 0.250 0.367 Ho
0.621 0.750 0.953 Ho
0.742 0.250 0.709 Ho
0.758 0.750 0.209 Ho
0.879 0.250 0.453 Ho
0.946 0.750 0.867 Ho
0.004 0.250 0.691 Sb
0.185 0.750 0.998 Sb
0.315 0.250 0.498 Sb
0.496 0.750 0.191 Sb
0.504 0.250 0.809 Sb
0.685 0.750 0.502 Sb
0.815 0.250 0.002 Sb
0.996 0.750 0.309 Sb
0.125 0.250 0.368 Ru
0.375 0.750 0.868 Ru
0.625 0.250 0.132 Ru
0.875 0.750 0.632 Ru
```

Output
Magnetization (μB/cell): 0.00
ΔE_f (raw) (eV/f.u.): -5.03
Symmetry: Pnma
Calculated density (g/cm3): 9.118
DFT total energy (eV/atom): -6.05